CuNiPO2: relaxed, PBE+U.

```
5
Lattice="3.547 0.000 0.000 0.000 3.547 0.000 0.000 0.000 4.945" Properties=species:S:1:pos:R:3 pbc="T T T"
Ni 0.000 0.000 0.000
O 0.000 1.774 0.000
O 1.774 0.000 0.000
Cu 1.774 1.774 2.473
P 0.000 0.000 2.473
```

Summary:
Space-group type   P4/mmm (123)
ρ   4.94 g cm⁻³
Calculated volume   12.45 Å³ per atom
Final energy   -4.060 eV per atom
Energy relative to the lowest polymorph listed for this composition   0.00 eV/f.u.
Size of the total moment   0.9 μB per formula unit